Computed, not measured: a relaxed Y4InPbO crystal at the PBE level of DFT.

The energy relative to the elements, uncorrected is -1.165 eV/atom. For the size of the total moment, the calculation gives 0.0 μB/f.u. As for the crystal system: orthorhombic. The calculation puts the calculated density at 6.39 g/cm³.

Cell and atoms, written as CIF:
```
data_Y4InPbO
_space_group_name_H-M_alt 'C m c m'
_space_group_IT_number 63
_space_group_name_Hall '-C 2c 2'
_cell_length_a 6.513
_cell_length_b 17.035
_cell_length_c 6.499
_cell_angle_alpha 90.00
_cell_angle_beta 90.00
_cell_angle_gamma 90.00
loop_
_atom_site_label
_atom_site_type_symbol
_atom_site_fract_x
_atom_site_fract_y
_atom_site_fract_z
Y1 Y 0.000 0.069 0.250
Y2 Y 0.000 0.417 0.250
Y3 Y 0.250 0.250 0.000
In1 In 0.000 0.114 0.750
Pb1 Pb 0.000 0.392 0.750
O1 O 0.000 0.273 0.250
```

=====

Computed, not measured: a relaxed ZnInPb2O6 crystal at the PBE level of DFT.

The energy relative to the elements, uncorrected is -1.117 eV/atom. For the size of the total moment, the calculation gives 0.0 μB/f.u. As for the crystal system: trigonal. The calculation puts the calculated density at 8.28 g/cm³.

Cell and atoms, written as CIF:
```
data_ZnInPb2O6
_space_group_name_H-M_alt 'R 3'
_space_group_IT_number 146
_space_group_name_Hall 'R 3'
_cell_length_a 5.6585
_cell_length_b 5.6585
_cell_length_c 14.9804
_cell_angle_alpha 90.00
_cell_angle_beta 90.00
_cell_angle_gamma 120.00
loop_
_atom_site_label
_atom_site_type_symbol
_atom_site_fract_x
_atom_site_fract_y
_atom_site_fract_z
Zn1 Zn 0.0000 0.0000 0.0000
In1 In 0.0000 0.0000 0.5040
Pb1 Pb 0.0000 0.0000 0.2197
Pb2 Pb 0.0000 0.0000 0.7184
O1 O 0.0129 0.7110 0.1083
O2 O 0.0225 0.3072 0.6097
```

=====

Computed, not measured: a relaxed In3PdO crystal at the PBE level of DFT.

The energy relative to the elements, uncorrected is 0.092 eV/atom. For the size of the total moment, the calculation gives 0.0 μB/f.u. Its energy above the lowest structure with this stoichiometry is 0.2799 eV per atom. As for the crystal system: cubic. The calculation puts the calculated density at 5.86 g/cm³.

Cell and atoms, written as CIF:
```
data_In3PdO
_space_group_name_H-M_alt 'P m -3 m'
_space_group_IT_number 221
_space_group_name_Hall '-P 4 2 3'
_cell_length_a 5.094
_cell_length_b 5.094
_cell_length_c 5.094
_cell_angle_alpha 90.00
_cell_angle_beta 90.00
_cell_angle_gamma 90.00
loop_
_atom_site_label
_atom_site_type_symbol
_atom_site_fract_x
_atom_site_fract_y
_atom_site_fract_z
In1 In 0.000 0.000 0.500
Pd1 Pd 0.000 0.000 0.000
O1 O 0.500 0.500 0.500
```

=====

Computed, not measured: a relaxed In3PdO crystal at the PBE level of DFT.

The energy relative to the elements, uncorrected is -0.188 eV/atom. For the size of the total moment, the calculation gives 0.0 μB/f.u. Its energy above the lowest structure with this stoichiometry is 0.0000 eV per atom. As for the crystal system: cubic. The calculation puts the calculated density at 7.55 g/cm³.

Cell and atoms, written as CIF:
```
data_In3PdO
_space_group_name_H-M_alt 'P m -3 m'
_space_group_IT_number 221
_space_group_name_Hall '-P 4 2 3'
_cell_length_a 4.683
_cell_length_b 4.683
_cell_length_c 4.683
_cell_angle_alpha 90.00
_cell_angle_beta 90.00
_cell_angle_gamma 90.00
loop_
_atom_site_label
_atom_site_type_symbol
_atom_site_fract_x
_atom_site_fract_y
_atom_site_fract_z
In1 In 0.000 0.000 0.500
Pd1 Pd 0.500 0.500 0.500
O1 O 0.000 0.000 0.000
```

=====

Computed, not measured: a relaxed InPdO3 crystal at the PBE level of DFT.

The energy relative to the elements, uncorrected is -0.318 eV/atom. For the size of the total moment, the calculation gives 0.0 μB/f.u. As for the crystal system: cubic. The calculation puts the calculated density at 7.27 g/cm³.

Cell and atoms, written as CIF:
```
data_InPdO3
_space_group_name_H-M_alt 'P m -3 m'
_space_group_IT_number 221
_space_group_name_Hall '-P 4 2 3'
_cell_length_a 3.948
_cell_length_b 3.948
_cell_length_c 3.948
_cell_angle_alpha 90.00
_cell_angle_beta 90.00
_cell_angle_gamma 90.00
loop_
_atom_site_label
_atom_site_type_symbol
_atom_site_fract_x
_atom_site_fract_y
_atom_site_fract_z
In1 In 0.000 0.000 0.000
Pd1 Pd 0.500 0.500 0.500
O1 O 0.000 0.500 0.500
```

=====

Computed, not measured: a relaxed InPdO2 crystal at the PBE level of DFT.

The energy relative to the elements, uncorrected is -0.946 eV/atom. For the size of the total moment, the calculation gives 0.0 μB/f.u. As for the crystal system: trigonal. The calculation puts the calculated density at 7.42 g/cm³.

Cell and atoms, written as CIF:
```
data_InPdO2
_space_group_name_H-M_alt 'R -3 m'
_space_group_IT_number 166
_space_group_name_Hall '-R 3 2"'
_cell_length_a 3.2290
_cell_length_b 3.2290
_cell_length_c 18.8288
_cell_angle_alpha 90.00
_cell_angle_beta 90.00
_cell_angle_gamma 120.00
loop_
_atom_site_label
_atom_site_type_symbol
_atom_site_fract_x
_atom_site_fract_y
_atom_site_fract_z
In1 In 0.0000 0.0000 0.0000
Pd1 Pd 0.0000 0.0000 0.5000
O1 O 0.0000 0.0000 0.3923
```

=====

Computed, not measured: a relaxed InPd3O6 crystal at the PBE level of DFT.

The energy relative to the elements, uncorrected is -0.709 eV/atom. For the size of the total moment, the calculation gives 0.0 μB/f.u. As for the crystal system: orthorhombic. The calculation puts the calculated density at 7.26 g/cm³.

Cell and atoms, written as CIF:
```
data_InPd3O6
_space_group_name_H-M_alt 'C m m m'
_space_group_IT_number 65
_space_group_name_Hall '-C 2 2'
_cell_length_a 7.133
_cell_length_b 10.098
_cell_length_c 3.368
_cell_angle_alpha 90.00
_cell_angle_beta 90.00
_cell_angle_gamma 90.00
loop_
_atom_site_label
_atom_site_type_symbol
_atom_site_fract_x
_atom_site_fract_y
_atom_site_fract_z
In1 In 0.000 0.000 0.000
Pd1 Pd 0.000 0.500 0.000
Pd2 Pd 0.250 0.250 0.500
O1 O 0.000 0.150 0.500
O2 O 0.211 0.372 0.000
```

=====

Computed, not measured: a relaxed InPdO2 crystal at the PBE level of DFT.

The energy relative to the elements, uncorrected is -0.575 eV/atom. For the size of the total moment, the calculation gives 1.0 μB/f.u. As for the crystal system: tetragonal. The calculation puts the calculated density at 6.52 g/cm³.

Cell and atoms, written as CIF:
```
data_InPdO2
_space_group_name_H-M_alt 'I -4 2 d'
_space_group_IT_number 122
_space_group_name_Hall 'I -4 2bw'
_cell_length_a 5.230
_cell_length_b 5.230
_cell_length_c 9.430
_cell_angle_alpha 90.00
_cell_angle_beta 90.00
_cell_angle_gamma 90.00
loop_
_atom_site_label
_atom_site_type_symbol
_atom_site_fract_x
_atom_site_fract_y
_atom_site_fract_z
In1 In 0.000 0.000 0.000
Pd1 Pd 0.000 0.000 0.500
O1 O 0.219 0.250 0.125
```